Here is a relaxed structure of Te4MoI from Alexandria via LeMat-Bulk. Energies are from PBE-GGA.

Results
VASP energy: -4.19 eV/atom

a b c (Å): 9.5091 9.5091 6.1630
angles (deg): 90.29 90.29 51.03
Atoms (fractional coordinates):
Te (0.1995, 0.6056, 0.4490)
Te (0.2352, 0.7648, 0.0000)
Te (0.3199, 0.3199, 0.7574)
Te (0.3944, 0.8005, 0.5510)
Te (0.6056, 0.1995, 0.4490)
Te (0.6801, 0.6801, 0.2426)
Te (0.7648, 0.2352, 0.0000)
Te (0.8005, 0.3944, 0.5510)
Mo (0.4873, 0.4873, 0.7447)
Mo (0.5127, 0.5127, 0.2553)
I (0.1959, 0.1959, 0.1305)
I (0.8041, 0.8041, 0.8695)

***

Here is a relaxed structure of SiPdSeN2 from Alexandria via LeMat-Bulk. Energies are from PBE-GGA.

Results
VASP energy: -4.67 eV/atom

a b c (Å): 3.9555 3.9555 5.3954
angles (deg): 90.00 90.00 90.00
Atoms (fractional coordinates):
Si (0.0000, 0.0000, 0.0000)
Pd (0.5000, 0.5000, 0.5000)
Se (0.5000, 0.5000, 0.0000)
N (0.0000, 0.5000, 0.5000)
N (0.5000, 0.0000, 0.5000)

***

Here is a relaxed structure of CeInPbCl6 from Alexandria via LeMat-Bulk. Energies are from PBE-GGA.

Results
VASP energy: -4.13 eV/atom

a b c (Å): 7.5422 7.5422 12.4328
angles (deg): 90.00 90.00 120.00
Atoms (fractional coordinates):
Ce (0.3333, 0.6667, 0.2500)
Ce (0.6667, 0.3333, 0.7500)
In (0.3333, 0.6667, 0.7500)
In (0.6667, 0.3333, 0.2500)
Pb (0.0000, 0.0000, 0.0000)
Pb (0.0000, 0.0000, 0.5000)
Cl (0.0422, 0.3516, 0.1239)
Cl (0.0422, 0.6907, 0.3761)
Cl (0.3093, 0.3516, 0.3761)
Cl (0.3093, 0.9578, 0.1239)
Cl (0.3516, 0.0422, 0.6239)
Cl (0.3516, 0.3093, 0.8761)
Cl (0.6484, 0.6907, 0.1239)
Cl (0.6484, 0.9578, 0.3761)
Cl (0.6907, 0.0422, 0.8761)
Cl (0.6907, 0.6484, 0.6239)
Cl (0.9578, 0.3093, 0.6239)
Cl (0.9578, 0.6484, 0.8761)

***

Here is a relaxed structure of CsRb3Tl8 from Alexandria via LeMat-Bulk. Energies are from PBE-GGA.

Results
VASP energy: -1.95 eV/atom

a b c (Å): 11.8229 11.8229 11.8229
angles (deg): 33.95 33.95 33.95
Atoms (fractional coordinates):
Cs (0.0000, 0.0000, 0.0000)
Rb (0.1248, 0.1248, 0.1248)
Rb (0.4996, 0.4996, 0.4996)
Rb (0.6240, 0.6240, 0.6240)
Tl (0.0619, 0.0619, 0.5602)
Tl (0.0619, 0.5602, 0.0619)
Tl (0.0630, 0.5629, 0.5629)
Tl (0.3113, 0.3113, 0.3113)
Tl (0.5602, 0.0619, 0.0619)
Tl (0.5629, 0.0630, 0.5629)
Tl (0.5629, 0.5629, 0.0630)
Tl (0.8126, 0.8126, 0.8126)

***

Here is a relaxed structure of La2SmErBi5 from Alexandria via LeMat-Bulk. Energies are from PBE-GGA.

Results
VASP energy: -4.57 eV/atom

a b c (Å): 5.4204 5.4204 12.0440
angles (deg): 90.00 90.00 90.00
Atoms (fractional coordinates):
La (0.0000, 0.0000, 0.2220)
La (0.0000, 0.0000, 0.7780)
Sm (0.5000, 0.5000, 0.5000)
Er (0.5000, 0.5000, 0.0000)
Bi (0.0000, 0.0000, 0.5000)
Bi (0.0000, 0.5000, 0.0000)
Bi (0.5000, 0.0000, 0.0000)
Bi (0.5000, 0.5000, 0.2510)
Bi (0.5000, 0.5000, 0.7490)

***

Here is a relaxed structure of SmDy2YS6 from Alexandria via LeMat-Bulk. Energies are from PBE-GGA.

Results
VASP energy: -6.57 eV/atom

a b c (Å): 7.3828 7.3828 7.3828
angles (deg): 56.25 56.25 56.25
Atoms (fractional coordinates):
Sm (0.0000, 0.0000, 0.0000)
Dy (0.2952, 0.2952, 0.2952)
Dy (0.7972, 0.7972, 0.7972)
Y (0.4969, 0.4969, 0.4969)
S (0.0932, 0.6871, 0.4072)
S (0.1966, 0.5919, 0.8979)
S (0.4072, 0.0932, 0.6871)
S (0.5919, 0.8979, 0.1966)
S (0.6871, 0.4072, 0.0932)
S (0.8979, 0.1966, 0.5919)

***

Here is a relaxed structure of TbY3Cd2 from Alexandria via LeMat-Bulk. Energies are from PBE-GGA.

Results
VASP energy: -4.52 eV/atom

a b c (Å): 3.6805 3.6805 12.6372
angles (deg): 90.00 90.00 90.00
Atoms (fractional coordinates):
Tb (0.0000, 0.0000, 0.0000)
Y (0.5000, 0.5000, 0.1946)
Y (0.5000, 0.5000, 0.5000)
Y (0.5000, 0.5000, 0.8054)
Cd (0.0000, 0.0000, 0.3481)
Cd (0.0000, 0.0000, 0.6519)

***

Here is a relaxed structure of CoTc2Rh from Alexandria via LeMat-Bulk. Energies are from PBE-GGA.

Results
VASP energy: -8.77 eV/atom

a b c (Å): 2.6766 2.6766 7.5431
angles (deg): 90.00 90.00 90.00
Atoms (fractional coordinates):
Co (0.0000, 0.0000, 0.0000)
Tc (0.0000, 0.0000, 0.5005)
Tc (0.5000, 0.5000, 0.7814)
Rh (0.5000, 0.5000, 0.2537)